Entry 1:
This record from the Open Quantum Materials Database describes an optimized crystal structure of Li2Y2CoSn2Pd. The functional is PBE.

Structure (CIF):
```
data_Li2Y2CoSn2Pd
_cell_length_a 4.697
_cell_length_b 4.697
_cell_length_c 6.693
_cell_angle_alpha 90.00
_cell_angle_beta 90.00
_cell_angle_gamma 90.00
_symmetry_space_group_name_H-M 'P -4 m 2'
_symmetry_Int_Tables_number 115
_symmetry_space_group_name_Hall 'P -4 -2'
loop_
_atom_site_label
_atom_site_type_symbol
_atom_site_fract_x
_atom_site_fract_y
_atom_site_fract_z
Li1 Li 0.000 0.000 0.000
Li2 Li 0.500 0.500 0.500
Y1 Y 0.000 0.500 0.241
Co1 Co 0.500 0.500 0.000
Sn1 Sn 0.000 0.500 0.762
Pd1 Pd 0.000 0.000 0.500
```

Summary:
total DFT energy (no corrections): -5.232 eV per atom
total moment: 0.72 μB/f.u.

***

Entry 2:
This record from the Open Quantum Materials Database describes an optimized crystal structure of LiLuNb. The functional is PBE.

Structure (CIF):
```
data_LiLuNb
_cell_length_a 6.769
_cell_length_b 6.769
_cell_length_c 6.769
_cell_angle_alpha 90.00
_cell_angle_beta 90.00
_cell_angle_gamma 90.00
_symmetry_space_group_name_H-M 'F -4 3 m'
_symmetry_Int_Tables_number 216
_symmetry_space_group_name_Hall 'F -4 2 3'
loop_
_atom_site_label
_atom_site_type_symbol
_atom_site_fract_x
_atom_site_fract_y
_atom_site_fract_z
Li1 Li 0.000 0.000 0.000
Lu1 Lu 0.250 0.250 0.250
Nb1 Nb 0.000 0.000 0.500
```

Summary:
excess energy over the best structure of this formula in the dataset: 105.0 meV per atom
total moment: 3.14 μB/f.u.

***

Entry 3:
This record from the Open Quantum Materials Database describes an optimized crystal structure of Sm2Ho2BI3Br2. The functional is PBE.

Structure (CIF):
```
data_Sm2Ho2BI3Br2
_cell_length_a 18.793
_cell_length_b 4.030
_cell_length_c 8.571
_cell_angle_alpha 90.00
_cell_angle_beta 102.29
_cell_angle_gamma 90.00
_symmetry_space_group_name_H-M 'C 1 2/m 1'
_symmetry_Int_Tables_number 12
_symmetry_space_group_name_Hall '-C 2y'
loop_
_atom_site_label
_atom_site_type_symbol
_atom_site_fract_x
_atom_site_fract_y
_atom_site_fract_z
Sm1 Sm 0.140 0.000 0.074
Ho1 Ho 0.000 0.500 0.195
B1 B 0.000 0.000 0.000
I1 I 0.000 0.000 0.500
I2 I 0.171 0.500 0.811
Br1 Br 0.156 0.500 0.329
```

Summary:
total DFT energy (no corrections): -4.544 eV per atom
total moment: 0.03 μB/f.u.